Entry A
The following is a GGA-PBE calculation of crystalline HfZrTl2 at its relaxed geometry, from Alexandria.

size of the total moment = 0.220 μB/atom

Cell lengths 7.158, 7.158, 7.158 Å; angles 90.00, 90.00, 90.00 degrees
Space group Fm-3m (No. 225)
Symmetry-distinct sites (fractional):
Hf (0.000, 0.000, 0.000) (multiplicity 4)
Zr (0.000, 0.000, 0.500) (multiplicity 4)
Tl (0.250, 0.250, 0.250) (multiplicity 8)


Entry B
The following is a GGA-PBE calculation of crystalline HfZrTl2 at its relaxed geometry, from Alexandria.

size of the total moment = 0.000 μB/atom

Cell lengths 3.202, 3.202, 8.834 Å; angles 90.00, 90.00, 90.00 degrees
Space group P4/mmm (No. 123)
Symmetry-distinct sites (fractional):
Hf (0.000, 0.000, 0.000) (multiplicity 1)
Zr (0.000, 0.000, 0.500) (multiplicity 1)
Tl (0.500, 0.500, 0.249) (multiplicity 2)


Entry C
The following is a GGA-PBE calculation of crystalline HfZrTl2 at its relaxed geometry, from Alexandria.

size of the total moment = 0.000 μB/atom

Cell lengths 7.934, 7.934, 6.187 Å; angles 90.00, 90.00, 90.00 degrees
Space group I-42d (No. 122)
Symmetry-distinct sites (fractional):
Hf (0.000, 0.000, 0.000) (multiplicity 4)
Zr (0.000, 0.000, 0.500) (multiplicity 4)
Tl (0.247, 0.250, 0.125) (multiplicity 8)


Tell me which of them is the least stable. Sure, it is entry C.


Entry A
The following is a GGA-PBE calculation of crystalline HfZrTl2 at its relaxed geometry, from Alexandria.

size of the total moment = 0.000 μB/atom

Cell lengths 4.4606, 4.4606, 18.4128 Å; angles 90.00, 90.00, 120.00 degrees
Space group R3m (No. 160, hexagonal axes)
Symmetry-distinct sites (fractional):
Hf (0.0000, 0.0000, 0.0000) (multiplicity 3)
Zr (0.0000, 0.0000, 0.1806) (multiplicity 3)
Tl (0.0000, 0.0000, 0.5913) (multiplicity 3)
Tl (0.0000, 0.0000, 0.7610) (multiplicity 3)


Entry B
The following is a GGA-PBE calculation of crystalline HfZrTl2 at its relaxed geometry, from Alexandria.

size of the total moment = 0.000 μB/atom

Cell lengths 4.553, 4.553, 4.373 Å; angles 90.00, 90.00, 90.00 degrees
Space group P4/mmm (No. 123)
Symmetry-distinct sites (fractional):
Hf (0.000, 0.000, 0.000) (multiplicity 1)
Zr (0.500, 0.500, 0.000) (multiplicity 1)
Tl (0.000, 0.500, 0.500) (multiplicity 2)


Tell me which of them is the least stable. Sure, it is entry A.


Entry A
The following is a GGA-PBE calculation of crystalline HfZr6Tl at its relaxed geometry, from Alexandria.

size of the total moment = 0.000 μB/atom

Cell lengths 6.3905, 6.3905, 5.2019 Å; angles 90.00, 90.00, 120.00 degrees
Space group P-6m2 (No. 187)
Symmetry-distinct sites (fractional):
Hf (0.0000, 0.0000, 0.0000) (multiplicity 1)
Zr (0.1645, 0.3289, 0.5000) (multiplicity 3)
Zr (0.5005, 0.0010, 0.0000) (multiplicity 3)
Tl (0.6667, 0.3333, 0.5000) (multiplicity 1)


Entry B
The following is a GGA-PBE calculation of crystalline HfZr6Tl at its relaxed geometry, from Alexandria.

size of the total moment = 0.000 μB/atom

Cell lengths 4.480, 4.480, 9.151 Å; angles 90.00, 90.00, 90.00 degrees
Space group P4/mmm (No. 123)
Symmetry-distinct sites (fractional):
Hf (0.000, 0.000, 0.000) (multiplicity 1)
Zr (0.000, 0.500, 0.245) (multiplicity 4)
Zr (0.500, 0.500, 0.000) (multiplicity 1)
Zr (0.500, 0.500, 0.500) (multiplicity 1)
Tl (0.000, 0.000, 0.500) (multiplicity 1)


Tell me which of them is the least stable. Sure, it is entry A.


Entry A
The following is a GGA-PBE calculation of crystalline Hf3ZrTl at its relaxed geometry, from Alexandria.

size of the total moment = 0.509 μB/atom

Cell lengths 5.254, 5.254, 5.254 Å; angles 90.00, 90.00, 90.00 degrees
Space group Pm-3m (No. 221)
Symmetry-distinct sites (fractional):
Hf (0.000, 0.000, 0.500) (multiplicity 3)
Zr (0.500, 0.500, 0.500) (multiplicity 1)
Tl (0.000, 0.000, 0.000) (multiplicity 1)


Entry B
The following is a GGA-PBE calculation of crystalline Hf3ZrTl at its relaxed geometry, from Alexandria.

size of the total moment = 0.000 μB/atom

Cell lengths 7.020, 4.412, 7.360 Å; angles 90.00, 91.48, 90.00 degrees
Space group P2_1/m (No. 11)
Symmetry-distinct sites (fractional):
Hf (0.148, 0.250, 0.048) (multiplicity 2)
Hf (0.240, 0.750, 0.756) (multiplicity 2)
Hf (0.347, 0.250, 0.475) (multiplicity 2)
Zr (0.060, 0.750, 0.351) (multiplicity 2)
Tl (0.445, 0.750, 0.161) (multiplicity 2)


Entry C
The following is a GGA-PBE calculation of crystalline Hf3ZrTl at its relaxed geometry, from Alexandria.

size of the total moment = 0.000 μB/atom

Cell lengths 13.413, 12.068, 5.863 Å; angles 90.00, 103.90, 90.00 degrees
Space group C2/c (No. 15)
Symmetry-distinct sites (fractional):
Hf (0.106, 0.178, 0.462) (multiplicity 8)
Hf (0.193, 0.314, 0.145) (multiplicity 8)
Hf (0.201, 0.429, 0.648) (multiplicity 8)
Zr (0.106, 0.069, 0.965) (multiplicity 8)
Tl (0.000, 0.316, 0.750) (multiplicity 4)
Tl (0.000, 0.421, 0.250) (multiplicity 4)


Entry D
The following is a GGA-PBE calculation of crystalline Hf3ZrTl at its relaxed geometry, from Alexandria.

size of the total moment = 0.000 μB/atom

Cell lengths 5.164, 5.164, 5.164 Å; angles 90.00, 90.00, 90.00 degrees
Space group Pm-3m (No. 221)
Symmetry-distinct sites (fractional):
Hf (0.000, 0.000, 0.500) (multiplicity 3)
Zr (0.000, 0.000, 0.000) (multiplicity 1)
Tl (0.500, 0.500, 0.500) (multiplicity 1)


Tell me which of them is the least stable. Sure, it is entry A.


Entry A
The following is a GGA-PBE calculation of crystalline HfZr4Tl at its relaxed geometry, from Alexandria.

size of the total moment = 0.000 μB/atom

Cell lengths 10.720, 3.263, 8.759 Å; angles 90.00, 115.02, 90.00 degrees
Space group C2/m (No. 12)
Symmetry-distinct sites (fractional):
Hf (0.000, 0.000, 0.000) (multiplicity 2)
Zr (0.161, 0.500, 0.335) (multiplicity 4)
Zr (0.172, 0.500, 0.835) (multiplicity 4)
Tl (0.000, 0.000, 0.500) (multiplicity 2)


Entry B
The following is a GGA-PBE calculation of crystalline HfZr4Tl at its relaxed geometry, from Alexandria.

size of the total moment = 0.000 μB/atom

Cell lengths 4.9755, 4.9755, 22.0082 Å; angles 90.00, 90.00, 120.00 degrees
Space group R-3m (No. 166, hexagonal axes)
Symmetry-distinct sites (fractional):
Hf (0.0000, 0.0000, 0.0000) (multiplicity 3)
Zr (0.0000, 0.0000, 0.1252) (multiplicity 6)
Zr (0.0000, 0.0000, 0.3641) (multiplicity 6)
Tl (0.0000, 0.0000, 0.5000) (multiplicity 3)


Tell me which of them is the least stable. Sure, it is entry B.


Entry A
The following is a GGA-PBE calculation of crystalline TmHf2 at its relaxed geometry, from Alexandria.

size of the total moment = 0.000 μB/atom

Cell lengths 3.166, 3.166, 14.810 Å; angles 90.00, 90.00, 90.00 degrees
Space group I4/mmm (No. 139)
Symmetry-distinct sites (fractional):
Tm (0.000, 0.000, 0.000) (multiplicity 2)
Hf (0.000, 0.000, 0.321) (multiplicity 4)


Entry B
The following is a GGA-PBE calculation of crystalline TmHf2 at its relaxed geometry, from Alexandria.

size of the total moment = 0.764 μB/atom

Cell lengths 8.524, 8.524, 8.524 Å; angles 90.00, 90.00, 90.00 degrees
Space group Fd-3m (No. 227, origin choice 2)
Symmetry-distinct sites (fractional):
Tm (0.125, 0.125, 0.125) (multiplicity 8)
Hf (0.000, 0.000, 0.500) (multiplicity 16)


Tell me which of them is the least stable. Sure, it is entry B.


Entry A
The following is a GGA-PBE calculation of crystalline TmHf2V at its relaxed geometry, from Alexandria.

size of the total moment = 0.265 μB/atom

Cell lengths 3.1506, 3.1506, 31.5729 Å; angles 90.00, 90.00, 120.00 degrees
Space group R-3m (No. 166, hexagonal axes)
Symmetry-distinct sites (fractional):
Tm (0.0000, 0.0000, 0.0000) (multiplicity 3)
Hf (0.0000, 0.0000, 0.0992) (multiplicity 6)
V (0.0000, 0.0000, 0.5000) (multiplicity 3)


Entry B
The following is a GGA-PBE calculation of crystalline TmHf2V at its relaxed geometry, from Alexandria.

size of the total moment = 0.000 μB/atom

Cell lengths 3.378, 3.378, 7.638 Å; angles 90.00, 90.00, 90.00 degrees
Space group P4/mmm (No. 123)
Symmetry-distinct sites (fractional):
Tm (0.000, 0.000, 0.000) (multiplicity 1)
Hf (0.500, 0.500, 0.302) (multiplicity 2)
V (0.000, 0.000, 0.500) (multiplicity 1)


Tell me which of them is the least stable. Sure, it is entry A.


Entry A
The following is a GGA-PBE calculation of crystalline YTmHf at its relaxed geometry, from Alexandria.

size of the total moment = 0.000 μB/atom

Cell lengths 3.364, 3.364, 14.693 Å; angles 90.00, 90.00, 90.00 degrees
Space group I4mm (No. 107)
Symmetry-distinct sites (fractional):
Y (0.000, 0.000, 0.000) (multiplicity 2)
Tm (0.000, 0.000, 0.310) (multiplicity 2)
Hf (0.000, 0.000, 0.658) (multiplicity 2)


Entry B
The following is a GGA-PBE calculation of crystalline YTmHf at its relaxed geometry, from Alexandria.

size of the total moment = 0.000 μB/atom

Cell lengths 3.3764, 3.3764, 8.3790 Å; angles 90.00, 90.00, 120.00 degrees
Space group P3m1 (No. 156)
Symmetry-distinct sites (fractional):
Y (0.0000, 0.0000, 0.0000) (multiplicity 1)
Tm (0.3333, 0.6667, 0.6282) (multiplicity 1)
Hf (0.6667, 0.3333, 0.3175) (multiplicity 1)


Entry C
The following is a GGA-PBE calculation of crystalline YTmHf at its relaxed geometry, from Alexandria.

size of the total moment = 0.000 μB/atom

Cell lengths 3.307, 19.161, 5.176 Å; angles 90.00, 90.00, 90.00 degrees
Space group Cmcm (No. 63)
Symmetry-distinct sites (fractional):
Y (0.000, 0.206, 0.250) (multiplicity 4)
Tm (0.000, 0.041, 0.250) (multiplicity 4)
Hf (0.000, 0.386, 0.250) (multiplicity 4)


Tell me which of them is the least stable. Sure, it is entry C.


Entry A
The following is a GGA-PBE calculation of crystalline Y2TmHf at its relaxed geometry, from Alexandria.

size of the total moment = 0.000 μB/atom

Cell lengths 3.4206, 3.4206, 33.8639 Å; angles 90.00, 90.00, 120.00 degrees
Space group R-3m (No. 166, hexagonal axes)
Symmetry-distinct sites (fractional):
Y (0.0000, 0.0000, 0.2449) (multiplicity 6)
Tm (0.0000, 0.0000, 0.0000) (multiplicity 3)
Hf (0.0000, 0.0000, 0.5000) (multiplicity 3)


Entry B
The following is a GGA-PBE calculation of crystalline Y2TmHf at its relaxed geometry, from Alexandria.

size of the total moment = 0.000 μB/atom

Cell lengths 3.996, 3.996, 7.217 Å; angles 90.00, 90.00, 90.00 degrees
Space group P4/mmm (No. 123)
Symmetry-distinct sites (fractional):
Y (0.000, 0.000, 0.227) (multiplicity 2)
Tm (0.500, 0.500, 0.500) (multiplicity 1)
Hf (0.500, 0.500, 0.000) (multiplicity 1)


Entry C
The following is a GGA-PBE calculation of crystalline Y2TmHf at its relaxed geometry, from Alexandria.

size of the total moment = 0.006 μB/atom

Cell lengths 3.4418, 3.4418, 33.4571 Å; angles 90.00, 90.00, 120.00 degrees
Space group R3m (No. 160, hexagonal axes)
Symmetry-distinct sites (fractional):
Y (0.0000, 0.0000, 0.0000) (multiplicity 3)
Y (0.0000, 0.0000, 0.1758) (multiplicity 3)
Tm (0.0000, 0.0000, 0.4215) (multiplicity 3)
Hf (0.0000, 0.0000, 0.5877) (multiplicity 3)


Entry D
The following is a GGA-PBE calculation of crystalline Y2TmHf at its relaxed geometry, from Alexandria.

size of the total moment = 0.000 μB/atom

Cell lengths 4.847, 4.847, 4.833 Å; angles 90.00, 90.00, 90.00 degrees
Space group P4/mmm (No. 123)
Symmetry-distinct sites (fractional):
Y (0.000, 0.500, 0.000) (multiplicity 2)
Tm (0.000, 0.000, 0.500) (multiplicity 1)
Hf (0.500, 0.500, 0.500) (multiplicity 1)


Tell me which of them is the least stable. Sure, it is entry B.


Entry A
The following is a GGA-PBE calculation of crystalline YTm2Hf at its relaxed geometry, from Alexandria.

size of the total moment = 0.011 μB/atom

Cell lengths 3.4210, 3.4210, 33.2910 Å; angles 90.00, 90.00, 120.00 degrees
Space group R3m (No. 160, hexagonal axes)
Symmetry-distinct sites (fractional):
Y (0.0000, 0.0000, 0.0000) (multiplicity 3)
Tm (0.0000, 0.0000, 0.2449) (multiplicity 3)
Tm (0.0000, 0.0000, 0.4226) (multiplicity 3)
Hf (0.0000, 0.0000, 0.8340) (multiplicity 3)


Entry B
The following is a GGA-PBE calculation of crystalline YTm2Hf at its relaxed geometry, from Alexandria.

size of the total moment = 0.000 μB/atom

Cell lengths 3.3179, 3.3179, 35.7761 Å; angles 90.00, 90.00, 120.00 degrees
Space group R-3m (No. 166, hexagonal axes)
Symmetry-distinct sites (fractional):
Y (0.0000, 0.0000, 0.0000) (multiplicity 3)
Tm (0.0000, 0.0000, 0.4134) (multiplicity 6)
Hf (0.0000, 0.0000, 0.5000) (multiplicity 3)


Tell me which of them is the least stable. Sure, it is entry B.